[1]
MgGaReW: optimized geometry, PBE-GGA.

Energy above the most stable polymorph in this dataset: 0.0000 eV/atom
VASP energy: -118.296 eV for the cell shown

a = 6.2602 Å, b = 6.2602 Å, c = 6.2602 Å
α = 90.00°, β = 90.00°, γ = 90.00°
Closest atoms and distances in Å follow each position.
Space group F-43m (No. 216)
Symmetry-distinct sites (fractional):
Mg: 0.0000 0.0000 0.0000 [4 per cell]  4 W 2.71, 4 Ga 2.71
Ga: 0.2500 0.2500 0.2500 [4 per cell]  4 Re 2.71, 4 Mg 2.71
Re: 0.0000 0.0000 0.5000 [4 per cell]  4 W 2.71, 4 Ga 2.71
W: 0.2500 0.2500 0.7500 [4 per cell]  4 Re 2.71, 4 Mg 2.71

***

[2]
ZnSnSbAs: optimized geometry, PBE-GGA.

Energy above the most stable polymorph in this dataset: 0.0128 eV/atom
VASP energy: -57.883 eV for the cell shown

a = 6.1541 Å, b = 6.1547 Å, c = 12.3605 Å
α = 90.00°, β = 90.00°, γ = 90.00°
Closest atoms and distances in Å follow each position.
Space group I2_12_12_1 (No. 24)
Symmetry-distinct sites (fractional):
Zn: 0.0000 0.2500 0.1367 [4 per cell]  2 As 2.52, 2 Sb 2.65
Sn: 0.0000 0.2500 0.6313 [4 per cell]  2 As 2.70, 2 Sb 2.83
Sb: 0.2500 0.4674 0.0000 [4 per cell]  2 Zn 2.65, 2 Sn 2.83
As: 0.2297 0.0000 0.2500 [4 per cell]  2 Zn 2.52, 2 Sn 2.70

***

[3]
Pm2BO4: optimized geometry, PBE-GGA.

VASP energy: -427.316 eV for the cell shown

a = 8.7991 Å, b = 8.7991 Å, c = 8.7991 Å
α = 90.00°, β = 90.00°, γ = 90.00°
Closest atoms and distances in Å follow each position.
Space group Fd-3m (No. 227, origin choice 2)
Symmetry-distinct sites (fractional):
Pm: 0.0000 0.0000 0.0000 [16 per cell]  6 O 2.43
B: 0.1250 0.1250 0.6250 [8 per cell]  4 O 1.54
O: 0.0238 0.0238 0.7262 [32 per cell]  1 B 1.54

***

[4]
TbHoPb4: optimized geometry, PBE-GGA.

VASP energy: -52.469 eV for the cell shown

a = 4.5020 Å, b = 4.5589 Å, c = 16.5482 Å
α = 90.00°, β = 90.00°, γ = 90.00°
Closest atoms and distances in Å follow each position.
Space group Amm2 (No. 38)
Symmetry-distinct sites (fractional):
Tb: 0.0000 0.0000 0.0000 [2 per cell]  10 Pb 3.23-3.54
Ho: 0.5000 0.0000 0.1895 [2 per cell]  10 Pb 3.23-3.53
Pb: 0.0000 0.0000 0.3450 [2 per cell]  4 Pb 3.20, 2 Ho 3.42, 2 Tb 3.43
Pb: 0.0000 0.0000 0.6641 [2 per cell]  2 Pb 3.20, 4 Ho 3.23, 2 Tb 3.54
Pb: 0.5000 0.0000 0.5263 [2 per cell]  2 Pb 3.20, 4 Tb 3.23, 2 Ho 3.53
Pb: 0.5000 0.0000 0.8435 [2 per cell]  4 Pb 3.20, 2 Ho 3.42, 2 Tb 3.43

***

[5]
GdIrNO: optimized geometry, PBE-GGA.

Energy above the most stable polymorph in this dataset: 0.3168 eV/atom
VASP energy: -63.124 eV for the cell shown

a = 3.9377 Å, b = 3.9377 Å, c = 7.3659 Å
α = 90.00°, β = 90.00°, γ = 90.00°
Closest atoms and distances in Å follow each position.
Space group P4/nmm (No. 129, origin choice 2)
Symmetry-distinct sites (fractional):
Gd: 0.2500 0.2500 0.1504 [2 per cell]  4 O 2.26
Ir: 0.2500 0.7500 0.5000 [2 per cell]  4 N 2.13
N: 0.2500 0.2500 0.6091 [2 per cell]  4 Ir 2.13
O: 0.2500 0.7500 0.0000 [2 per cell]  4 Gd 2.26

***

[6]
Y2Tm: optimized geometry, PBE-GGA.

Energy above the most stable polymorph in this dataset: 0.2534 eV/atom
Formation energy: 284 meV/atom
VASP energy: -132.434 eV for the cell shown

a = 9.2614 Å, b = 9.2614 Å, c = 9.2614 Å
α = 90.00°, β = 90.00°, γ = 90.00°
Closest atoms and distances in Å follow each position.
Space group Fd-3m (No. 227, origin choice 2)
Symmetry-distinct sites (fractional):
Y: 0.0000 0.0000 0.0000 [16 per cell]  6 Y 3.27
Tm: 0.1250 0.1250 0.6250 [8 per cell]  12 Y 3.84, 4 Tm 4.01

***

[7]
YFe2: optimized geometry, PBE-GGA.

Formation energy: -60 meV/atom
VASP energy: -186.102 eV for the cell shown

a = 7.2240 Å, b = 7.2240 Å, c = 7.2240 Å
α = 90.00°, β = 90.00°, γ = 90.00°
Closest atoms and distances in Å follow each position.
Space group Fd-3m (No. 227, origin choice 2)
Symmetry-distinct sites (fractional):
Y: 0.1250 0.1250 0.1250 [8 per cell]  12 Fe 2.99, 4 Y 3.13
Fe: 0.0000 0.0000 0.5000 [16 per cell]  6 Fe 2.55

***

[8]
ZrSnTe: optimized geometry, PBE-GGA.

VASP energy: -61.136 eV for the cell shown

a = 7.0083 Å, b = 7.0083 Å, c = 7.0083 Å
α = 90.00°, β = 90.00°, γ = 90.00°
Closest atoms and distances in Å follow each position.
Space group F-43m (No. 216)
Symmetry-distinct sites (fractional):
Zr: 0.0000 0.0000 0.0000 [4 per cell]  4 Te 3.03
Sn: 0.0000 0.0000 0.5000 [4 per cell]  4 Te 3.03
Te: 0.2500 0.2500 0.7500 [4 per cell]  4 Zr 3.03, 4 Sn 3.03